Record 1
# Fe2TcO6

A geometry-optimized Fe2TcO6 structure (PBE with a Hubbard U, the Alexandria database).

a = 3.462 Å, b = 4.900 Å, c = 10.413 Å
α = 90.00°, β = 90.00°, γ = 90.00°
Space group Immm (No. 71)
Symmetry-distinct sites (fractional):
1 Fe 0.000 0.000 0.170 [4 per cell]
2 Tc 0.000 0.000 0.500 [2 per cell]
3 O 0.000 0.246 0.339 [8 per cell]
4 O 0.000 0.261 0.000 [4 per cell]

Properties
Raw total energy = -121.96 eV/cell
Total magnetic moment = 7.63 μB/f.u.



Record 2
# FeTcO

A geometry-optimized FeTcO structure (PBE with a Hubbard U, the Alexandria database).

a = 2.824 Å, b = 5.683 Å, c = 5.825 Å
α = 62.21°, β = 77.07°, γ = 78.58°
Space group P-1 (No. 2)
Symmetry-distinct sites (fractional):
1 Fe 0.124 0.035 0.194 [2 per cell]
2 Tc 0.401 0.519 0.188 [2 per cell]
3 O 0.127 0.722 0.550 [2 per cell]

Properties
Raw total energy = -44.24 eV/cell
Total magnetic moment = 3.83 μB/f.u.
ΔE to the lowest computed polymorph = 56 meV/atom



Record 3
# FeTc2O6

A geometry-optimized FeTc2O6 structure (PBE with a Hubbard U, the Alexandria database).

a = 8.6668 Å, b = 8.6668 Å, c = 4.4728 Å
α = 90.00°, β = 90.00°, γ = 120.00°
Space group P321 (No. 150)
Symmetry-distinct sites (fractional):
1 Fe 0.0000 0.0000 0.0000 [1 per cell]
2 Fe 0.3333 0.6667 0.4930 [2 per cell]
3 Tc 0.0000 0.3454 0.0000 [3 per cell]
4 Tc 0.0000 0.6794 0.5000 [3 per cell]
5 O 0.1044 0.5615 0.2529 [6 per cell]
6 O 0.1123 0.2299 0.2375 [6 per cell]
7 O 0.2128 0.4361 0.7365 [6 per cell]

Properties
Raw total energy = -204.93 eV/cell
Total magnetic moment = 4.40 μB/f.u.



Record 4
# FeTcO

A geometry-optimized FeTcO structure (PBE with a Hubbard U, the Alexandria database).

a = 5.188 Å, b = 2.790 Å, c = 5.411 Å
α = 90.00°, β = 96.98°, γ = 90.00°
Space group Pm (No. 6)
Symmetry-distinct sites (fractional):
1 Fe 0.000 0.000 0.000 [1 per cell]
2 Fe 0.482 0.000 0.273 [1 per cell]
3 Tc 0.108 0.500 0.489 [1 per cell]
4 Tc 0.463 0.500 0.775 [1 per cell]
5 O 0.748 0.500 0.182 [1 per cell]
6 O 0.828 0.500 0.706 [1 per cell]

Properties
Raw total energy = -43.52 eV/cell
Total magnetic moment = 3.42 μB/f.u.
ΔE to the lowest computed polymorph = 176 meV/atom



Record 5
# FeTcO

A geometry-optimized FeTcO structure (PBE with a Hubbard U, the Alexandria database).

a = 2.633 Å, b = 2.787 Å, c = 5.171 Å
α = 90.00°, β = 90.00°, γ = 90.00°
Space group Pmm2 (No. 25)
Symmetry-distinct sites (fractional):
1 Fe 0.000 0.000 0.000 [1 per cell]
2 Tc 0.500 0.500 0.402 [1 per cell]
3 O 0.500 0.000 0.690 [1 per cell]

Properties
Raw total energy = -21.95 eV/cell
Total magnetic moment = 2.99 μB/f.u.
ΔE to the lowest computed polymorph = 113 meV/atom



Record 6
# FeTc3O

A geometry-optimized FeTc3O structure (PBE with a Hubbard U, the Alexandria database).

a = 4.466 Å, b = 4.466 Å, c = 4.466 Å
α = 90.00°, β = 90.00°, γ = 90.00°
Space group Pm-3m (No. 221)
Symmetry-distinct sites (fractional):
1 Fe 0.000 0.000 0.000 [1 per cell]
2 Tc 0.000 0.000 0.500 [3 per cell]
3 O 0.500 0.500 0.500 [1 per cell]

Properties
Raw total energy = -29.52 eV/cell
Total magnetic moment = 2.44 μB/f.u.
ΔE to the lowest computed polymorph = 2183 meV/atom



Record 7
# FeTcO4

A geometry-optimized FeTcO4 structure (PBE with a Hubbard U, the Alexandria database).

a = 5.229 Å, b = 5.229 Å, c = 9.336 Å
α = 90.00°, β = 90.00°, γ = 90.00°
Space group I-4 (No. 82)
Symmetry-distinct sites (fractional):
1 Fe 0.000 0.000 0.000 [2 per cell]
2 Tc 0.000 0.500 0.250 [2 per cell]
3 O 0.133 0.260 0.136 [8 per cell]

Properties
Raw total energy = -87.23 eV/cell
Total magnetic moment = 3.00 μB/f.u.
ΔE to the lowest computed polymorph = 72 meV/atom



Record 8
# FeTcO

A geometry-optimized FeTcO structure (PBE with a Hubbard U, the Alexandria database).

a = 2.860 Å, b = 4.325 Å, c = 6.142 Å
α = 94.54°, β = 92.43°, γ = 90.23°
Space group P1 (No. 1)
Symmetry-distinct sites (fractional):
1 Fe 0.000 0.000 0.000 [1 per cell]
2 Fe 0.046 0.424 0.377 [1 per cell]
3 Tc 0.479 0.492 0.774 [1 per cell]
4 Tc 0.574 0.951 0.579 [1 per cell]
5 O 0.000 0.516 0.020 [1 per cell]
6 O 0.526 0.095 0.255 [1 per cell]

Properties
Raw total energy = -44.57 eV/cell
Total magnetic moment = 3.55 μB/f.u.
ΔE to the lowest computed polymorph = 0 meV/atom



Record 9
# FeTcO

A geometry-optimized FeTcO structure (PBE with a Hubbard U, the Alexandria database).

a = 5.062 Å, b = 2.778 Å, c = 5.472 Å
α = 90.00°, β = 90.03°, γ = 90.00°
Space group Pm (No. 6)
Symmetry-distinct sites (fractional):
1 Fe 0.000 0.000 0.000 [1 per cell]
2 Fe 0.204 0.500 0.438 [1 per cell]
3 Tc 0.514 0.500 0.013 [1 per cell]
4 Tc 0.683 0.000 0.388 [1 per cell]
5 O 0.190 0.500 0.790 [1 per cell]
6 O 0.673 0.000 0.775 [1 per cell]

Properties
Raw total energy = -43.82 eV/cell
Total magnetic moment = 3.49 μB/f.u.
ΔE to the lowest computed polymorph = 126 meV/atom



Record 10
# FeTc2O

A geometry-optimized FeTc2O structure (PBE with a Hubbard U, the Alexandria database).

a = 6.419 Å, b = 6.419 Å, c = 4.912 Å
α = 90.00°, β = 90.00°, γ = 90.00°
Space group I-42d (No. 122)
Symmetry-distinct sites (fractional):
1 Fe 0.000 0.000 0.000 [4 per cell]
2 Tc 0.166 0.250 0.625 [8 per cell]
3 O 0.000 0.000 0.500 [4 per cell]

Properties
Raw total energy = -113.86 eV/cell
Total magnetic moment = 0.14 μB/f.u.



Record 11
# FeTcO

A geometry-optimized FeTcO structure (PBE with a Hubbard U, the Alexandria database).

a = 2.865 Å, b = 11.147 Å, c = 4.631 Å
α = 90.00°, β = 90.00°, γ = 90.00°
Space group Cmc2_1 (No. 36)
Symmetry-distinct sites (fractional):
1 Fe 0.000 0.075 0.000 [4 per cell]
2 Tc 0.000 0.376 0.985 [4 per cell]
3 O 0.000 0.216 0.731 [4 per cell]

Properties
Raw total energy = -86.62 eV/cell
Total magnetic moment = 3.24 μB/f.u.
ΔE to the lowest computed polymorph = 211 meV/atom



Record 12
# FeTcO

A geometry-optimized FeTcO structure (PBE with a Hubbard U, the Alexandria database).

a = 13.451 Å, b = 2.910 Å, c = 4.229 Å
α = 90.00°, β = 96.49°, γ = 90.00°
Space group Cm (No. 8)
Symmetry-distinct sites (fractional):
1 Fe 0.000 0.000 0.000 [2 per cell]
2 Fe 0.208 0.500 0.388 [2 per cell]
3 Tc 0.321 0.000 0.916 [2 per cell]
4 Tc 0.414 0.000 0.465 [2 per cell]
5 O 0.060 0.500 0.293 [2 per cell]
6 O 0.212 0.500 0.885 [2 per cell]

Properties
Raw total energy = -88.24 eV/cell
Total magnetic moment = 3.53 μB/f.u.
ΔE to the lowest computed polymorph = 76 meV/atom